Here is a relaxed structure of Sr3TlS from Alexandria via LeMat-Bulk. Energies are from PBE-GGA.

The energy above the lowest structure with this stoichiometry is 0.0 meV per atom. As for the calculated total energy: -3.21 eV per atom. The value obtained for the uncorrected formation energy is -0.902 eV per atom. The volume comes out at 191 Å³ per cell.

The structure belongs to space group Pm-3m (No. 221); the cell edges are 5.757, 5.757 and 5.757 Å and the angles 90.00°, 90.00° and 90.00°. The inequivalent atoms are Sr at (0.000, 0.000, 0.500), Tl at (0.500, 0.500, 0.500) and S at (0.000, 0.000, 0.000).

Here is a relaxed structure of PrGdCdPt from Alexandria via LeMat-Bulk. Energies are from PBE-GGA.

As for the calculated total energy: -7.10 eV per atom. As for the formation energy: -2.580 eV/f.u. The volume comes out at 403 Å³ per cell.

The structure belongs to space group F-43m (No. 216); the cell edges are 7.384, 7.384 and 7.384 Å and the angles 90.00°, 90.00° and 90.00°. The inequivalent atoms are Pr at (0.000, 0.000, 0.000), Gd at (0.000, 0.000, 0.500), Cd at (0.250, 0.250, 0.750) and Pt at (0.250, 0.250, 0.250).

Here is a relaxed structure of PmZn2Ge from Alexandria via LeMat-Bulk. Energies are from PBE-GGA.

The energy above the lowest structure with this stoichiometry is 80.3 meV per atom. As for the calculated total energy: -3.37 eV per atom. As for the formation energy: -1.555 eV/f.u. The volume comes out at 81 Å³ per cell.

The structure belongs to space group P4/mmm (No. 123); the cell edges are 4.230, 4.230 and 4.512 Å and the angles 90.00°, 90.00° and 90.00°. The inequivalent atoms are Pm at (0.000, 0.000, 0.000), Zn at (0.000, 0.500, 0.500) and Ge at (0.500, 0.500, 0.000).

Here is a relaxed structure of PrAg2Hg2 from Alexandria via LeMat-Bulk. Energies are from PBE-GGA.

The energy above the lowest structure with this stoichiometry is 0.0 meV per atom. As for the calculated total energy: -2.45 eV per atom. As for the formation energy: -1.152 eV/f.u. The volume comes out at 117 Å³ per cell.

The structure belongs to space group P-1 (No. 2); the cell edges are 5.072, 5.333 and 5.439 Å and the angles 80.00°, 63.61° and 62.29°. The inequivalent atoms are Pr at (0.000, 0.000, 0.000), Ag at (0.201, 0.333, 0.269) and Hg at (0.480, 0.728, 0.319).

Here is a relaxed structure of Sr4AlMo from Alexandria via LeMat-Bulk. Energies are from PBE-GGA.

As for the calculated total energy: -2.43 eV per atom. As for the formation energy: 6.724 eV/f.u. The volume comes out at 913 Å³ per cell.

The structure belongs to space group F-43m (No. 216); the cell edges are 9.701, 9.701 and 9.701 Å and the angles 90.00°, 90.00° and 90.00°. The inequivalent atoms are Sr at (0.125, 0.125, 0.125), Al at (0.250, 0.250, 0.750) and Mo at (0.000, 0.000, 0.500).

Here is a relaxed structure of La2TbAg2 from Alexandria via LeMat-Bulk. Energies are from PBE-GGA.

The energy above the lowest structure with this stoichiometry is 6.6 meV per atom. As for the calculated total energy: -4.22 eV per atom. As for the formation energy: -0.918 eV/f.u. The volume comes out at 283 Å³ per cell.

The structure belongs to space group P2_1/m (No. 11); the cell edges are 3.740, 5.361 and 14.220 Å and the angles 90.00°, 97.58° and 90.00°. The inequivalent atoms are La at (0.043, 0.250, 0.090), La at (0.234, 0.250, 0.465), Tb at (0.144, 0.750, 0.291), Ag at (0.363, 0.750, 0.723) and Ag at (0.446, 0.250, 0.887).

Here is a relaxed structure of TmRh2Pb from Alexandria via LeMat-Bulk. Energies are from PBE-GGA.

As for the calculated total energy: -6.31 eV per atom. As for the formation energy: -2.371 eV/f.u. The volume comes out at 75 Å³ per cell.

The structure belongs to space group P4/mmm (No. 123); the cell edges are 4.517, 4.517 and 3.685 Å and the angles 90.00°, 90.00° and 90.00°. The inequivalent atoms are Tm at (0.000, 0.000, 0.000), Rh at (0.000, 0.500, 0.500) and Pb at (0.500, 0.500, 0.000).

Here is a relaxed structure of CeDyCS from Alexandria via LeMat-Bulk. Energies are from PBE-GGA.

As for the calculated total energy: -7.18 eV per atom. The value obtained for the uncorrected formation energy is -1.208 eV per atom. The volume comes out at 235 Å³ per cell.

The structure belongs to space group R3m (No. 160, hexagonal axes); the cell edges are 3.7603, 3.7603 and 19.1807 Å and the angles 90.00°, 90.00° and 120.00°. The inequivalent atoms are Ce at (0.0000, 0.0000, 0.0000), Dy at (0.0000, 0.0000, 0.4771), C at (0.0000, 0.0000, 0.7353) and S at (0.0000, 0.0000, 0.2345).

Here is a relaxed structure of Cs3PPt4 from Alexandria via LeMat-Bulk. Energies are from PBE-GGA.

As for the calculated total energy: -4.26 eV per atom. As for the formation energy: -1.941 eV/f.u. The volume comes out at 1022 Å³ per cell.

The structure belongs to space group Pnma (No. 62); the cell edges are 15.472, 11.348 and 5.820 Å and the angles 90.00°, 90.00° and 90.00°. The inequivalent atoms are Cs at (0.124, 0.038, 0.007), Cs at (0.196, 0.250, 0.508), P at (0.064, 0.750, 0.754), Pt at (0.017, 0.612, 0.504), Pt at (0.067, 0.750, 0.129) and Pt at (0.176, 0.750, 0.506).

Here is a relaxed structure of CsBa2CaGa from Alexandria via LeMat-Bulk. Energies are from PBE-GGA.

As for the calculated total energy: -1.97 eV per atom. As for the formation energy: -0.106 eV/f.u. The volume comes out at 281 Å³ per cell.

The structure belongs to space group P4/mmm (No. 123); the cell edges are 6.756, 6.756 and 6.164 Å and the angles 90.00°, 90.00° and 90.00°. The inequivalent atoms are Cs at (0.000, 0.000, 0.000), Ba at (0.000, 0.500, 0.500), Ca at (0.500, 0.500, 0.000) and Ga at (0.500, 0.500, 0.500).

Here is a relaxed structure of Fe2AsW from Alexandria via LeMat-Bulk. Energies are from PBE-GGA.

As for the calculated total energy: -8.53 eV per atom. As for the formation energy: 0.421 eV/f.u. The volume comes out at 51 Å³ per cell.

The structure belongs to space group P4/mmm (No. 123); the cell edges are 2.785, 2.785 and 6.530 Å and the angles 90.00°, 90.00° and 90.00°. The inequivalent atoms are Fe at (0.000, 0.000, 0.219), As at (0.500, 0.500, 0.000) and W at (0.500, 0.500, 0.500).

Here is a relaxed structure of MgSc4In2 from Alexandria via LeMat-Bulk. Energies are from PBE-GGA.

As for the calculated total energy: -4.83 eV per atom. As for the formation energy: -1.407 eV/f.u. The volume comes out at 486 Å³ per cell.

The structure belongs to space group R-3m (No. 166, hexagonal axes); the cell edges are 5.0236, 5.0236 and 22.2367 Å and the angles 90.00°, 90.00° and 120.00°. The inequivalent atoms are Mg at (0.0000, 0.0000, 0.0000), Sc at (0.0000, 0.0000, 0.1483), Sc at (0.0000, 0.0000, 0.4274) and In at (0.0000, 0.0000, 0.2805).